The following is a DFT calculation (PBE) of crystalline BaHo2N at its relaxed geometry.

a = 3.5234 Å, b = 3.5234 Å, c = 29.9086 Å
α = 90.00°, β = 90.00°, γ = 120.00°
Space group R-3m (No. 166, hexagonal axes)
Unique sites:
Ba (0.0000, 0.0000, 0.0000) (multiplicity 3)
Ho (0.0000, 0.0000, 0.1228) (multiplicity 6)
N (0.0000, 0.0000, 0.5000) (multiplicity 3)

final energy = -65.567 eV for the cell shown
uncorrected formation energy = -0.613 eV/atom
volume = 26.796 Å³/atom
Fermi-level density of states = 4.036 states/eV/f.u.